1.
VASP calculation (PBEsol) on a geometry-optimized SnPbWSe2 structure.

abc: 4.7752 4.7752 5.7422
angles: 90.00 90.00 90.00
Last column: nearest neighbours and their distance in Å.
Atoms (fractional coordinates):
1 Pb 0.0000 0.0000 0.5000  2 W 2.87
2 Sn 0.5000 0.5000 0.5000  4 Pb 3.38, 8 Se 3.73
3 W 0.0000 0.0000 0.0000  4 Se 2.39
4 Se 0.0000 0.5000 0.0000  2 W 2.39
5 Se 0.5000 0.0000 0.0000  2 W 2.39

Properties
- uncorrected energy (eV/cell) = -27.90
- formation energy from raw total energies (kcal/mol of atoms) = 8.6
- space group = P4/mmm

***

2.
VASP calculation (PBEsol) on a geometry-optimized CsLi3Se structure.

abc: 5.2554 5.2554 5.2554
angles: 90.00 90.00 90.00
Last column: nearest neighbours and their distance in Å.
Atoms (fractional coordinates):
1 Li 0.0000 0.5000 0.0000  2 Se 2.63
2 Li 0.0000 0.0000 0.5000  2 Se 2.63
3 Li 0.5000 0.0000 0.0000  2 Se 2.63
4 Cs 0.5000 0.5000 0.5000  12 Li 3.72
5 Se 0.0000 0.0000 0.0000  6 Li 2.63

Properties
- uncorrected energy (eV/cell) = -12.89
- formation energy from raw total energies (kcal/mol of atoms) = -10.1
- space group = Pm-3m